# 1
The following is a DFT calculation (PBE) of a relaxed LiVCuS crystal.

Lattice parameters (Å, degrees): 3.0482 3.0482 7.1900 90.00 90.00 120.00
Atoms (fractional coordinates):
Li: 0.0000 0.0000 0.0000
V: 0.0000 0.0000 0.5605
Cu: 0.3333 0.6667 0.2966
S: 0.3333 0.6667 0.7649

Properties
**E_form (uncorrected)**: -0.356 eV/atom
**Calculated density**: 4.41 Mg/m³
**Energy relative to the lowest polymorph listed for this composition**: 1.9 meV/atom


# 2
The following is a DFT calculation (PBE) of a relaxed Lu3Ni7B2 crystal.

Lattice parameters (Å, degrees): 5.0081 5.0081 14.2438 90.00 90.00 120.00
Atoms (fractional coordinates):
Lu: 0.3333 0.6667 0.0329
Lu: 0.3333 0.6667 0.2500
Lu: 0.3333 0.6667 0.4671
Lu: 0.6667 0.3333 0.5329
Lu: 0.6667 0.3333 0.7500
Lu: 0.6667 0.3333 0.9671
Ni: 0.0000 0.0000 0.0000
Ni: 0.0000 0.0000 0.5000
Ni: 0.1659 0.3318 0.6478
Ni: 0.1659 0.3318 0.8522
Ni: 0.1659 0.8341 0.6478
Ni: 0.1659 0.8341 0.8522
Ni: 0.3318 0.1659 0.1478
Ni: 0.3318 0.1659 0.3522
Ni: 0.6682 0.8341 0.6478
Ni: 0.6682 0.8341 0.8522
Ni: 0.8341 0.1659 0.1478
Ni: 0.8341 0.1659 0.3522
Ni: 0.8341 0.6682 0.1478
Ni: 0.8341 0.6682 0.3522
B: 0.0000 0.0000 0.2500
B: 0.0000 0.0000 0.7500
B: 0.3333 0.6667 0.7500
B: 0.6667 0.3333 0.2500

Properties
**Formation energy from the elements**: -0.562 eV/atom
**Calculated density**: 10.28 Mg/m³


# 3
The following is a DFT calculation (PBE) of a relaxed NiC2 crystal.

Lattice parameters (Å, degrees): 3.2790 3.2790 3.2790 60.00 60.00 60.00
Atoms (fractional coordinates):
Ni: 0.0000 0.0000 0.0000
C: 0.2500 0.2500 0.2500
C: 0.7500 0.7500 0.7500

Properties
**Formation energy from the elements**: 1.928 eV/atom
**Calculated density**: 5.51 Mg/m³
**Energy relative to the lowest polymorph listed for this composition**: 1509.2 meV/atom


# 4
The following is a DFT calculation (PBE) of a relaxed NaMg2Zn2Ga2 crystal.

Lattice parameters (Å, degrees): 9.0947 9.0947 9.0947 28.07 28.07 28.07
Atoms (fractional coordinates):
Na: 0.0000 0.0000 0.0000
Mg: 0.1332 0.1332 0.1332
Mg: 0.8668 0.8668 0.8668
Zn: 0.4139 0.4139 0.4139
Zn: 0.5861 0.5861 0.5861
Ga: 0.2497 0.2497 0.2497
Ga: 0.7503 0.7503 0.7503

Properties
**Formation energy from the elements**: -0.097 eV/atom
**Calculated density**: 3.86 Mg/m³


# 5
The following is a DFT calculation (PBE) of a relaxed CaUSb2 crystal.

Lattice parameters (Å, degrees): 7.9589 7.9589 7.9589 32.21 32.21 32.21
Atoms (fractional coordinates):
Ca: 0.0000 0.0000 0.0000
U: 0.8292 0.8292 0.8292
Sb: 0.2412 0.2412 0.2412
Sb: 0.4196 0.4196 0.4196

Properties
**E_form (uncorrected)**: -0.500 eV/atom
**Calculated density**: 6.80 Mg/m³
**Energy relative to the lowest polymorph listed for this composition**: 58.7 meV/atom


# 6
The following is a DFT calculation (PBE) of a relaxed HfAgCl2 crystal.

Lattice parameters (Å, degrees): 11.3176 11.3176 11.3176 16.15 16.15 16.15
Atoms (fractional coordinates):
Hf: 0.0000 0.0000 0.0000
Ag: 0.5000 0.5000 0.5000
Cl: 0.3883 0.3883 0.3883
Cl: 0.6117 0.6117 0.6117

Properties
**E_form (uncorrected)**: -0.832 eV/atom
**Calculated density**: 6.06 Mg/m³
**Energy relative to the lowest polymorph listed for this composition**: 0.0 meV/atom


# 7
The following is a DFT calculation (PBE) of a relaxed Tb2YRh crystal.

Lattice parameters (Å, degrees): 6.2308 6.2308 9.4699 90.00 90.00 144.05
Atoms (fractional coordinates):
Tb: 0.1385 0.8615 0.5670
Tb: 0.1385 0.8615 0.9330
Tb: 0.8615 0.1385 0.0670
Tb: 0.8615 0.1385 0.4330
Y: 0.4239 0.5761 0.7500
Y: 0.5761 0.4239 0.2500
Rh: 0.2600 0.7400 0.2500
Rh: 0.7400 0.2600 0.7500

Properties
**Formation energy from the elements**: -0.482 eV/atom
**Calculated density**: 7.84 Mg/m³
**Energy relative to the lowest polymorph listed for this composition**: 33.7 meV/atom


# 8
The following is a DFT calculation (PBE) of a relaxed La2FeRuBr crystal.

Lattice parameters (Å, degrees): 5.2685 5.2685 4.3945 90.00 90.00 90.00
Atoms (fractional coordinates):
La: 0.0000 0.5000 0.0000
La: 0.5000 0.0000 0.0000
Fe: 0.0000 0.0000 0.0000
Ru: 0.5000 0.5000 0.5000
Br: 0.0000 0.0000 0.5000

Properties
**E_form (uncorrected)**: 0.327 eV/atom
**Calculated density**: 7.01 Mg/m³


# 9
The following is a DFT calculation (PBE) of a relaxed CsTlSb4 crystal.

Lattice parameters (Å, degrees): 6.6662 6.6662 6.6662 60.00 60.00 60.00
Atoms (fractional coordinates):
Cs: 0.0000 0.0000 0.0000
Tl: 0.2500 0.2500 0.2500
Sb: 0.1554 0.6149 0.6149
Sb: 0.6149 0.1554 0.6149
Sb: 0.6149 0.6149 0.1554
Sb: 0.6149 0.6149 0.6149

Properties
**E_form (uncorrected)**: -0.040 eV/atom
**Calculated density**: 6.53 Mg/m³


# 10
The following is a DFT calculation (PBE) of a relaxed Zr6TlCd2 crystal.

Lattice parameters (Å, degrees): 8.2547 8.2547 8.2547 143.16 138.83 56.42
Atoms (fractional coordinates):
Zr: 0.0528 0.8057 0.2472
Zr: 0.2486 0.0000 0.2486
Zr: 0.4415 0.1943 0.2472
Zr: 0.5585 0.8057 0.7528
Zr: 0.7514 0.0000 0.7514
Zr: 0.9472 0.1943 0.7528
Tl: 0.5000 0.5000 0.0000
Cd: 0.1097 0.6097 0.5000
Cd: 0.8903 0.3903 0.5000

Properties
**Formation energy from the elements**: 0.396 eV/atom
**Calculated density**: 7.36 Mg/m³
**Energy relative to the lowest polymorph listed for this composition**: 0.0 meV/atom


# 11
The following is a DFT calculation (PBE) of a relaxed YNb2Co crystal.

Lattice parameters (Å, degrees): 10.8679 10.8679 10.8679 159.59 159.59 29.02
Atoms (fractional coordinates):
Y: 0.0000 0.0000 0.0000
Y: 0.7500 0.2500 0.5000
Nb: 0.1383 0.6250 0.0133
Nb: 0.3750 0.3883 0.5133
Nb: 0.6117 0.1250 0.9867
Nb: 0.8750 0.8617 0.4867
Co: 0.2500 0.7500 0.5000
Co: 0.5000 0.5000 0.0000

Properties
**Formation energy from the elements**: 0.525 eV/atom
**Calculated density**: 7.10 Mg/m³
**Energy relative to the lowest polymorph listed for this composition**: 59.1 meV/atom


# 12
The following is a DFT calculation (PBE) of a relaxed SrLi2CaPb2 crystal.

Lattice parameters (Å, degrees): 5.0334 5.0334 7.7038 90.00 90.00 120.00
Atoms (fractional coordinates):
Sr: 0.0000 0.0000 0.0000
Li: 0.3333 0.6667 0.7003
Li: 0.6667 0.3333 0.2997
Ca: 0.0000 0.0000 0.5000
Pb: 0.3333 0.6667 0.2781
Pb: 0.6667 0.3333 0.7219

Properties
**Formation energy from the elements**: -0.443 eV/atom
**Calculated density**: 5.46 Mg/m³


# 13
The following is a DFT calculation (PBE) of a relaxed LiLaPm2Se4 crystal.

Lattice parameters (Å, degrees): 7.2147 4.1953 7.3332 90.00 109.38 90.00
Atoms (fractional coordinates):
Li: 0.0000 0.0000 0.0000
La: 0.5000 0.5000 0.0000
Pm: 0.0000 0.5000 0.5000
Pm: 0.5000 0.0000 0.5000
Se: 0.2403 0.0000 0.7503
Se: 0.2414 0.5000 0.2460
Se: 0.7586 0.5000 0.7540
Se: 0.7597 0.0000 0.2497

Properties
**E_form (uncorrected)**: -1.801 eV/atom
**Calculated density**: 5.96 Mg/m³


# 14
The following is a DFT calculation (PBE) of a relaxed LiCa2PuAu4 crystal.

Lattice parameters (Å, degrees): 8.7329 8.7329 8.7329 33.77 33.77 33.77
Atoms (fractional coordinates):
Li: 0.0000 0.0000 0.0000
Ca: 0.2558 0.2558 0.2558
Ca: 0.7442 0.7442 0.7442
Pu: 0.5000 0.5000 0.5000
Au: 0.1240 0.1240 0.1240
Au: 0.3770 0.3770 0.3770
Au: 0.6230 0.6230 0.6230
Au: 0.8760 0.8760 0.8760

Properties
**Formation energy from the elements**: -0.586 eV/atom
**Calculated density**: 10.13 Mg/m³


# 15
The following is a DFT calculation (PBE) of a relaxed SrLaPdPb crystal.

Lattice parameters (Å, degrees): 5.5050 5.5050 5.5050 60.00 60.00 60.00
Atoms (fractional coordinates):
Sr: 0.0000 0.0000 0.0000
La: 0.5000 0.5000 0.5000
Pd: 0.7500 0.7500 0.7500
Pb: 0.2500 0.2500 0.2500

Properties
**Formation energy from the elements**: -0.545 eV/atom
**Calculated density**: 7.60 Mg/m³


# 16
The following is a DFT calculation (PBE) of a relaxed Nb2InPtI crystal.

Lattice parameters (Å, degrees): 5.1527 5.1527 5.0756 90.00 90.00 90.00
Atoms (fractional coordinates):
Nb: 0.0000 0.5000 0.0000
Nb: 0.5000 0.0000 0.0000
In: 0.0000 0.0000 0.5000
Pt: 0.0000 0.0000 0.0000
I: 0.5000 0.5000 0.5000

Properties
**E_form (uncorrected)**: 0.811 eV/atom
**Calculated density**: 7.67 Mg/m³


# 17
The following is a DFT calculation (PBE) of a relaxed Cs3CaTh3Te8 crystal.

Lattice parameters (Å, degrees): 10.5478 10.5478 10.5478 51.42 51.42 51.42
Atoms (fractional coordinates):
Cs: 0.0000 0.5000 0.5000
Cs: 0.5000 0.0000 0.5000
Cs: 0.5000 0.5000 0.0000
Ca: 0.5000 0.5000 0.5000
Th: 0.0000 0.0000 0.5000
Th: 0.0000 0.5000 0.0000
Th: 0.5000 0.0000 0.0000
Te: 0.2223 0.7354 0.7354
Te: 0.2325 0.2325 0.2325
Te: 0.2646 0.2646 0.7777
Te: 0.2646 0.7777 0.2646
Te: 0.7354 0.2223 0.7354
Te: 0.7354 0.7354 0.2223
Te: 0.7675 0.7675 0.7675
Te: 0.7777 0.2646 0.2646

Properties
**E_form (uncorrected)**: -1.274 eV/atom
**Calculated density**: 5.41 Mg/m³


# 18
The following is a DFT calculation (PBE) of a relaxed Hg2BiRu2 crystal.

Lattice parameters (Å, degrees): 9.5784 9.5784 9.5784 158.88 158.88 30.04
Atoms (fractional coordinates):
Hg: 0.1213 0.1213 0.0000
Hg: 0.8787 0.8787 0.0000
Bi: 0.5000 0.5000 0.0000
Ru: 0.2500 0.7500 0.5000
Ru: 0.7500 0.2500 0.5000

Properties
**Formation energy from the elements**: 0.624 eV/atom
**Calculated density**: 11.83 Mg/m³
**Energy relative to the lowest polymorph listed for this composition**: 0.0 meV/atom


# 19
The following is a DFT calculation (PBE) of a relaxed Na3AsPb crystal.

Lattice parameters (Å, degrees): 7.3088 7.3088 7.4931 118.28 118.28 79.84
Atoms (fractional coordinates):
Na: 0.0552 0.0552 0.3443
Na: 0.0656 0.4627 0.2217
Na: 0.4627 0.0656 0.2217
Na: 0.5373 0.9344 0.7783
Na: 0.9344 0.5373 0.7783
Na: 0.9448 0.9448 0.6557
As: 0.2689 0.2689 0.8883
As: 0.7311 0.7311 0.1117
Pb: 0.4295 0.4295 0.6961
Pb: 0.5705 0.5705 0.3039

Properties
**Formation energy from the elements**: -0.185 eV/atom
**Calculated density**: 3.76 Mg/m³
**Energy relative to the lowest polymorph listed for this composition**: 0.0 meV/atom


# 20
The following is a DFT calculation (PBE) of a relaxed MnRe3Ge crystal.

Lattice parameters (Å, degrees): 4.4679 4.4679 4.4679 90.00 90.00 90.00
Atoms (fractional coordinates):
Mn: 0.0000 0.0000 0.0000
Re: 0.0000 0.5000 0.5000
Re: 0.5000 0.0000 0.5000
Re: 0.5000 0.5000 0.0000
Ge: 0.5000 0.5000 0.5000

Properties
**Formation energy from the elements**: 2.099 eV/atom
**Calculated density**: 12.78 Mg/m³
**Energy relative to the lowest polymorph listed for this composition**: 489.3 meV/atom


# 21
The following is a DFT calculation (PBE) of a relaxed Pm3DyH crystal.

Lattice parameters (Å, degrees): 5.1063 5.1063 5.1063 90.00 90.00 90.00
Atoms (fractional coordinates):
Pm: 0.0000 0.0000 0.5000
Pm: 0.0000 0.5000 0.0000
Pm: 0.5000 0.0000 0.0000
Dy: 0.5000 0.5000 0.5000
H: 0.0000 0.0000 0.0000

Properties
**Uncorrected energy**: -23.05 eV per cell
**Calculated density**: 7.46 Mg/m³


# 22
The following is a DFT calculation (PBE) of a relaxed OsRhN2 crystal.

Lattice parameters (Å, degrees): 3.8391 3.8391 3.8391 60.00 60.00 60.00
Atoms (fractional coordinates):
Os: 0.0000 0.0000 0.0000
Rh: 0.5000 0.5000 0.5000
N: 0.2500 0.2500 0.2500
N: 0.7500 0.7500 0.7500

Properties
**E_form (uncorrected)**: 1.423 eV/atom
**Calculated density**: 13.33 Mg/m³
**Energy relative to the lowest polymorph listed for this composition**: 954.8 meV/atom


# 23
The following is a DFT calculation (PBE) of a relaxed RbSr2Zn crystal.

Lattice parameters (Å, degrees): 4.0534 4.0534 11.4195 90.00 90.00 90.00
Atoms (fractional coordinates):
Rb: 0.0000 0.0000 0.0000
Sr: 0.5000 0.5000 0.3372
Sr: 0.5000 0.5000 0.6628
Zn: 0.0000 0.0000 0.5000

Properties
**Formation energy from the elements**: -0.027 eV/atom
**Calculated density**: 2.89 Mg/m³


# 24
The following is a DFT calculation (PBE) of a relaxed Ho2PuTh crystal.

Lattice parameters (Å, degrees): 5.7834 5.7834 3.6651 90.00 90.00 90.00
Atoms (fractional coordinates):
Ho: 0.0000 0.5000 0.0000
Ho: 0.5000 0.0000 0.0000
Pu: 0.0000 0.0000 0.5000
Th: 0.5000 0.5000 0.5000

Properties
**Formation energy from the elements**: 0.204 eV/atom
**Calculated density**: 10.92 Mg/m³
**Energy relative to the lowest polymorph listed for this composition**: 11.2 meV/atom


# 25
The following is a DFT calculation (PBE) of a relaxed PuMgRuPt crystal.

Lattice parameters (Å, degrees): 4.6790 4.6790 4.6790 60.00 60.00 60.00
Atoms (fractional coordinates):
Pu: 0.0000 0.0000 0.0000
Mg: 0.5000 0.5000 0.5000
Ru: 0.7500 0.7500 0.7500
Pt: 0.2500 0.2500 0.2500

Properties
**Formation energy from the elements**: -0.411 eV/atom
**Calculated density**: 12.94 Mg/m³


# 26
The following is a DFT calculation (PBE) of a relaxed InRh2Se crystal.

Lattice parameters (Å, degrees): 3.1102 3.9131 5.7801 90.00 90.00 90.00
Atoms (fractional coordinates):
In: 0.0000 0.0000 0.0000
Rh: 0.5000 0.5000 0.2456
Rh: 0.5000 0.5000 0.7544
Se: 0.5000 0.0000 0.5000

Properties
**E_form (uncorrected)**: -0.113 eV/atom
**Calculated density**: 9.43 Mg/m³